# Tb2DyS3 (PBE-GGA, optimized geometry)
data_Tb2DyS3
_chemical_formula_sum 'Tb2 Dy1 S3'
_cell_length_a 3.9111
_cell_length_b 3.9111
_cell_length_c 9.6017
_cell_angle_alpha 90.00
_cell_angle_beta 90.00
_cell_angle_gamma 120.00
_space_group_name_H-M_alt 'P -3 m 1'
_space_group_IT_number 164
_space_group_name_Hall '-P 3 2"'
loop_
_atom_site_label
_atom_site_type_symbol
_atom_site_fract_x
_atom_site_fract_y
_atom_site_fract_z
Tb1 Tb 0.3333 0.6667 0.1666
Dy1 Dy 0.0000 0.0000 0.5000
S1 S 0.0000 0.0000 0.0000
S2 S 0.3333 0.6667 0.6651
# Energy (eV/atom): -6.379
# Spin magnetization (μB per cell): 0.0

# TbDy2S3 (PBE-GGA, optimized geometry)
data_TbDy2S3
_chemical_formula_sum 'Tb1 Dy2 S3'
_cell_length_a 3.9036
_cell_length_b 3.9036
_cell_length_c 9.5837
_cell_angle_alpha 90.00
_cell_angle_beta 90.00
_cell_angle_gamma 120.00
_space_group_name_H-M_alt 'P -3 m 1'
_space_group_IT_number 164
_space_group_name_Hall '-P 3 2"'
loop_
_atom_site_label
_atom_site_type_symbol
_atom_site_fract_x
_atom_site_fract_y
_atom_site_fract_z
Tb1 Tb 0.0000 0.0000 0.0000
Dy1 Dy 0.3333 0.6667 0.6667
S1 S 0.0000 0.0000 0.5000
S2 S 0.3333 0.6667 0.1683
# Energy (eV/atom): -6.369
# Spin magnetization (μB per cell): 0.0

# Dy3Te2S (PBE-GGA, optimized geometry)
data_Dy3Te2S
_chemical_formula_sum 'Dy3 Te2 S1'
_cell_length_a 4.1369
_cell_length_b 4.1369
_cell_length_c 10.6785
_cell_angle_alpha 90.00
_cell_angle_beta 90.00
_cell_angle_gamma 120.00
_space_group_name_H-M_alt 'P -3 m 1'
_space_group_IT_number 164
_space_group_name_Hall '-P 3 2"'
loop_
_atom_site_label
_atom_site_type_symbol
_atom_site_fract_x
_atom_site_fract_y
_atom_site_fract_z
Dy1 Dy 0.0000 0.0000 0.0000
Dy2 Dy 0.3333 0.6667 0.6305
Te1 Te 0.3333 0.6667 0.1818
S1 S 0.0000 0.0000 0.5000
# Energy (eV/atom): -5.538
# Spin magnetization (μB per cell): 0.0

# DyTlS3 (PBE-GGA, optimized geometry)
data_DyTlS3
_chemical_formula_sum 'Dy4 Tl4 S12'
_cell_length_a 7.484
_cell_length_b 3.937
_cell_length_c 15.706
_cell_angle_alpha 90.00
_cell_angle_beta 90.00
_cell_angle_gamma 90.00
_space_group_name_H-M_alt 'P n m a'
_space_group_IT_number 62
loop_
_space_group_symop_operation_xyz
'x,y,z'
'-x,-y,-z'
'-x+1/2,-y,z+1/2'
'x+1/2,y,-z+1/2'
'x+1/2,-y+1/2,-z+1/2'
'-x+1/2,y+1/2,z+1/2'
'-x,y+1/2,-z'
'x,-y+1/2,z'
loop_
_atom_site_label
_atom_site_type_symbol
_atom_site_fract_x
_atom_site_fract_y
_atom_site_fract_z
Dy1 Dy 0.219 0.250 0.040
Tl1 Tl 0.148 0.750 0.301
S1 S 0.012 0.750 0.095
S2 S 0.094 0.250 0.437
S3 S 0.177 0.750 0.718
# Energy (eV/atom): -4.791
# Spin magnetization (μB per cell): 0.0

# Dy2Tl2S3 (PBE-GGA, optimized geometry)
data_Dy2Tl2S3
_chemical_formula_sum 'Dy8 Tl8 S12'
_cell_length_a 14.834
_cell_length_b 7.986
_cell_length_c 6.650
_cell_angle_alpha 90.00
_cell_angle_beta 110.22
_cell_angle_gamma 90.00
_space_group_name_H-M_alt 'C 1 2/c 1'
_space_group_IT_number 15
loop_
_space_group_symop_operation_xyz
'x,y,z'
'-x,-y,-z'
'-x,y,-z+1/2'
'x,-y,z+1/2'
'x+1/2,y+1/2,z'
'-x+1/2,-y+1/2,-z'
'-x+1/2,y+1/2,-z+1/2'
'x+1/2,-y+1/2,z+1/2'
loop_
_atom_site_label
_atom_site_type_symbol
_atom_site_fract_x
_atom_site_fract_y
_atom_site_fract_z
Dy1 Dy 0.132 0.139 0.057
Tl1 Tl 0.093 0.407 0.477
S1 S 0.000 0.048 0.250
S2 S 0.225 0.129 0.765
# Energy (eV/atom): -4.967
# Spin magnetization (μB per cell): 0.0

# DyTlZnS3 (PBE-GGA, optimized geometry)
data_DyTlZnS3
_chemical_formula_sum 'Dy4 Tl4 Zn4 S12'
_cell_length_a 3.974
_cell_length_b 14.279
_cell_length_c 10.571
_cell_angle_alpha 90.00
_cell_angle_beta 90.00
_cell_angle_gamma 90.00
_space_group_name_H-M_alt 'C m c m'
_space_group_IT_number 63
_space_group_name_Hall '-C 2c 2'
loop_
_atom_site_label
_atom_site_type_symbol
_atom_site_fract_x
_atom_site_fract_y
_atom_site_fract_z
Dy1 Dy 0.000 0.000 0.000
Tl1 Tl 0.000 0.254 0.250
Zn1 Zn 0.000 0.461 0.750
S1 S 0.000 0.060 0.750
S2 S 0.000 0.376 0.563
# Energy (eV/atom): -4.661
# Spin magnetization (μB per cell): 0.0
# Energy above the lowest structure with this stoichiometry (eV/atom): 0.0003

# DyTlZnS3 (PBE-GGA, optimized geometry)
data_DyTlZnS3
_chemical_formula_sum 'Dy2 Tl2 Zn2 S6'
_cell_length_a 8.048
_cell_length_b 3.973
_cell_length_c 10.287
_cell_angle_alpha 90.00
_cell_angle_beta 109.32
_cell_angle_gamma 90.00
_space_group_name_H-M_alt 'P 1 21/m 1'
_space_group_IT_number 11
loop_
_space_group_symop_operation_xyz
'x,y,z'
'-x,-y,-z'
'-x,y+1/2,-z'
'x,-y+1/2,z'
loop_
_atom_site_label
_atom_site_type_symbol
_atom_site_fract_x
_atom_site_fract_y
_atom_site_fract_z
Dy1 Dy 0.190 0.250 0.138
Tl1 Tl 0.228 0.750 0.715
Zn1 Zn 0.425 0.750 0.392
S1 S 0.045 0.250 0.862
S2 S 0.283 0.250 0.436
S3 S 0.433 0.750 0.169
# Energy (eV/atom): -4.641
# Spin magnetization (μB per cell): 0.0
# Energy above the lowest structure with this stoichiometry (eV/atom): 0.0203

# DyTlZnS3 (PBE-GGA, optimized geometry)
data_DyTlZnS3
_chemical_formula_sum 'Dy4 Tl4 Zn4 S12'
_cell_length_a 10.576
_cell_length_b 3.982
_cell_length_c 14.249
_cell_angle_alpha 90.00
_cell_angle_beta 90.00
_cell_angle_gamma 90.00
_space_group_name_H-M_alt 'P n m a'
_space_group_IT_number 62
loop_
_space_group_symop_operation_xyz
'x,y,z'
'-x,-y,-z'
'-x+1/2,-y,z+1/2'
'x+1/2,y,-z+1/2'
'x+1/2,-y+1/2,-z+1/2'
'-x+1/2,y+1/2,z+1/2'
'-x,y+1/2,-z'
'x,-y+1/2,z'
loop_
_atom_site_label
_atom_site_type_symbol
_atom_site_fract_x
_atom_site_fract_y
_atom_site_fract_z
Dy1 Dy 0.012 0.250 0.244
Tl1 Tl 0.227 0.750 0.497
Zn1 Zn 0.239 0.250 0.712
S1 S 0.049 0.250 0.630
S2 S 0.079 0.750 0.122
S3 S 0.240 0.750 0.811
# Energy (eV/atom): -4.661
# Spin magnetization (μB per cell): 0.0
# Energy above the lowest structure with this stoichiometry (eV/atom): 0.0000

# DyTlZnS3 (PBE-GGA, optimized geometry)
data_DyTlZnS3
_chemical_formula_sum 'Dy4 Tl4 Zn4 S12'
_cell_length_a 14.490
_cell_length_b 3.978
_cell_length_c 10.734
_cell_angle_alpha 90.00
_cell_angle_beta 90.00
_cell_angle_gamma 90.00
_space_group_name_H-M_alt 'P n m a'
_space_group_IT_number 62
loop_
_space_group_symop_operation_xyz
'x,y,z'
'-x,-y,-z'
'-x+1/2,-y,z+1/2'
'x+1/2,y,-z+1/2'
'x+1/2,-y+1/2,-z+1/2'
'-x+1/2,y+1/2,z+1/2'
'-x,y+1/2,-z'
'x,-y+1/2,z'
loop_
_atom_site_label
_atom_site_type_symbol
_atom_site_fract_x
_atom_site_fract_y
_atom_site_fract_z
Dy1 Dy 0.023 0.250 0.156
Tl1 Tl 0.243 0.250 0.461
Zn1 Zn 0.019 0.750 0.402
S1 S 0.075 0.750 0.613
S2 S 0.094 0.250 0.923
S3 S 0.133 0.750 0.250
# Energy (eV/atom): -4.645
# Spin magnetization (μB per cell): 0.0
# Energy above the lowest structure with this stoichiometry (eV/atom): 0.0164

# DyTlZnS3 (PBE-GGA, optimized geometry)
data_DyTlZnS3
_chemical_formula_sum 'Dy4 Tl4 Zn4 S12'
_cell_length_a 16.384
_cell_length_b 4.052
_cell_length_c 8.876
_cell_angle_alpha 90.00
_cell_angle_beta 104.31
_cell_angle_gamma 90.00
_space_group_name_H-M_alt 'C 1 2/m 1'
_space_group_IT_number 12
loop_
_space_group_symop_operation_xyz
'x,y,z'
'-x,-y,-z'
'-x,y,-z'
'x,-y,z'
'x+1/2,y+1/2,z'
'-x+1/2,-y+1/2,-z'
'-x+1/2,y+1/2,-z'
'x+1/2,-y+1/2,z'
loop_
_atom_site_label
_atom_site_type_symbol
_atom_site_fract_x
_atom_site_fract_y
_atom_site_fract_z
Dy1 Dy 0.170 0.000 0.092
Tl1 Tl 0.141 0.000 0.563
Zn1 Zn 0.001 0.500 0.218
S1 S 0.000 0.000 0.000
S2 S 0.000 0.500 0.500
S3 S 0.151 0.500 0.282
S4 S 0.159 0.500 0.872
# Energy (eV/atom): -4.515
# Spin magnetization (μB per cell): 0.0
# Energy above the lowest structure with this stoichiometry (eV/atom): 0.1457

# DyTlZnS3 (PBE-GGA, optimized geometry)
data_DyTlZnS3
_chemical_formula_sum 'Dy4 Tl4 Zn4 S12'
_cell_length_a 9.826
_cell_length_b 3.983
_cell_length_c 14.910
_cell_angle_alpha 90.00
_cell_angle_beta 90.00
_cell_angle_gamma 90.00
_space_group_name_H-M_alt 'P n m a'
_space_group_IT_number 62
loop_
_space_group_symop_operation_xyz
'x,y,z'
'-x,-y,-z'
'-x+1/2,-y,z+1/2'
'x+1/2,y,-z+1/2'
'x+1/2,-y+1/2,-z+1/2'
'-x+1/2,y+1/2,z+1/2'
'-x,y+1/2,-z'
'x,-y+1/2,z'
loop_
_atom_site_label
_atom_site_type_symbol
_atom_site_fract_x
_atom_site_fract_y
_atom_site_fract_z
Dy1 Dy 0.173 0.250 0.059
Tl1 Tl 0.014 0.750 0.324
Zn1 Zn 0.169 0.750 0.866
S1 S 0.023 0.250 0.896
S2 S 0.181 0.250 0.486
S3 S 0.221 0.750 0.719
# Energy (eV/atom): -4.597
# Spin magnetization (μB per cell): 0.0
# Energy above the lowest structure with this stoichiometry (eV/atom): 0.0639

# DyTlZnS3 (PBE-GGA, optimized geometry)
data_DyTlZnS3
_chemical_formula_sum 'Dy4 Tl4 Zn4 S12'
_cell_length_a 11.219
_cell_length_b 4.104
_cell_length_c 11.964
_cell_angle_alpha 90.00
_cell_angle_beta 90.00
_cell_angle_gamma 90.00
_space_group_name_H-M_alt 'P n m a'
_space_group_IT_number 62
loop_
_space_group_symop_operation_xyz
'x,y,z'
'-x,-y,-z'
'-x+1/2,-y,z+1/2'
'x+1/2,y,-z+1/2'
'x+1/2,-y+1/2,-z+1/2'
'-x+1/2,y+1/2,z+1/2'
'-x,y+1/2,-z'
'x,-y+1/2,z'
loop_
_atom_site_label
_atom_site_type_symbol
_atom_site_fract_x
_atom_site_fract_y
_atom_site_fract_z
Dy1 Dy 0.023 0.250 0.169
Tl1 Tl 0.162 0.250 0.508
Zn1 Zn 0.249 0.250 0.800
S1 S 0.045 0.750 0.323
S2 S 0.102 0.250 0.940
S3 S 0.222 0.750 0.699
# Energy (eV/atom): -4.608
# Spin magnetization (μB per cell): 0.0
# Energy above the lowest structure with this stoichiometry (eV/atom): 0.0532

# DyTmS4 (PBE-GGA, optimized geometry)
data_DyTmS4
_chemical_formula_sum 'Dy2 Tm2 S8'
_cell_length_a 8.735
_cell_length_b 4.326
_cell_length_c 7.185
_cell_angle_alpha 90.00
_cell_angle_beta 95.75
_cell_angle_gamma 90.00
_space_group_name_H-M_alt 'C 1 m 1'
_space_group_IT_number 8
loop_
_space_group_symop_operation_xyz
'x,y,z'
'x,-y,z'
'x+1/2,y+1/2,z'
'x+1/2,-y+1/2,z'
loop_
_atom_site_label
_atom_site_type_symbol
_atom_site_fract_x
_atom_site_fract_y
_atom_site_fract_z
Dy1 Dy 0.000 0.000 0.000
Tm1 Tm 0.146 0.500 0.556
S1 S 0.185 0.500 0.932
S2 S 0.216 0.000 0.332
S3 S 0.431 0.000 0.232
S4 S 0.461 0.500 0.619
# Energy (eV/atom): -5.983
# Spin magnetization (μB per cell): 0.0

# Dy2TmS3 (PBE-GGA, optimized geometry)
data_Dy2TmS3
_chemical_formula_sum 'Dy2 Tm1 S3'
_cell_length_a 3.8755
_cell_length_b 3.8755
_cell_length_c 9.5122
_cell_angle_alpha 90.00
_cell_angle_beta 90.00
_cell_angle_gamma 120.00
_space_group_name_H-M_alt 'P -3 m 1'
_space_group_IT_number 164
_space_group_name_Hall '-P 3 2"'
loop_
_atom_site_label
_atom_site_type_symbol
_atom_site_fract_x
_atom_site_fract_y
_atom_site_fract_z
Dy1 Dy 0.3333 0.6667 0.1672
Tm1 Tm 0.0000 0.0000 0.5000
S1 S 0.0000 0.0000 0.0000
S2 S 0.3333 0.6667 0.6619
# Energy (eV/atom): -6.316
# Spin magnetization (μB per cell): 0.0

# DyTmS2 (PBE-GGA, optimized geometry)
data_DyTmS2
_chemical_formula_sum 'Dy1 Tm1 S2'
_cell_length_a 3.868
_cell_length_b 3.868
_cell_length_c 5.472
_cell_angle_alpha 90.00
_cell_angle_beta 90.00
_cell_angle_gamma 90.00
_space_group_name_H-M_alt 'P 4/m m m'
_space_group_IT_number 123
_space_group_name_Hall '-P 4 2'
loop_
_atom_site_label
_atom_site_type_symbol
_atom_site_fract_x
_atom_site_fract_y
_atom_site_fract_z
Dy1 Dy 0.000 0.000 0.000
Tm1 Tm 0.500 0.500 0.500
S1 S 0.000 0.000 0.500
S2 S 0.500 0.500 0.000
# Energy (eV/atom): -6.289
# Spin magnetization (μB per cell): 0.0

# Dy3WS (PBE-GGA, optimized geometry)
data_Dy3WS
_chemical_formula_sum 'Dy3 W1 S1'
_cell_length_a 5.073
_cell_length_b 5.073
_cell_length_c 5.073
_cell_angle_alpha 90.00
_cell_angle_beta 90.00
_cell_angle_gamma 90.00
_space_group_name_H-M_alt 'P m -3 m'
_space_group_IT_number 221
_space_group_name_Hall '-P 4 2 3'
loop_
_atom_site_label
_atom_site_type_symbol
_atom_site_fract_x
_atom_site_fract_y
_atom_site_fract_z
Dy1 Dy 0.000 0.000 0.500
W1 W 0.500 0.500 0.500
S1 S 0.000 0.000 0.000
# Energy (eV/atom): -6.152
# Spin magnetization (μB per cell): 0.5

# DyY2S3 (PBE-GGA, optimized geometry)
data_DyY2S3
_chemical_formula_sum 'Dy1 Y2 S3'
_cell_length_a 3.9012
_cell_length_b 3.9012
_cell_length_c 9.6083
_cell_angle_alpha 90.00
_cell_angle_beta 90.00
_cell_angle_gamma 120.00
_space_group_name_H-M_alt 'P -3 m 1'
_space_group_IT_number 164
_space_group_name_Hall '-P 3 2"'
loop_
_atom_site_label
_atom_site_type_symbol
_atom_site_fract_x
_atom_site_fract_y
_atom_site_fract_z
Dy1 Dy 0.0000 0.0000 0.0000
Y1 Y 0.3333 0.6667 0.6667
S1 S 0.0000 0.0000 0.5000
S2 S 0.3333 0.6667 0.1663
# Energy (eV/atom): -6.981
# Spin magnetization (μB per cell): 0.0

# DyYS2 (PBE-GGA, optimized geometry)
data_DyYS2
_chemical_formula_sum 'Dy1 Y1 S2'
_cell_length_a 3.906
_cell_length_b 3.906
_cell_length_c 5.526
_cell_angle_alpha 90.00
_cell_angle_beta 90.00
_cell_angle_gamma 90.00
_space_group_name_H-M_alt 'P 4/m m m'
_space_group_IT_number 123
_space_group_name_Hall '-P 4 2'
loop_
_atom_site_label
_atom_site_type_symbol
_atom_site_fract_x
_atom_site_fract_y
_atom_site_fract_z
Dy1 Dy 0.000 0.000 0.000
Y1 Y 0.500 0.500 0.500
S1 S 0.000 0.000 0.500
S2 S 0.500 0.500 0.000
# Energy (eV/atom): -6.825
# Spin magnetization (μB per cell): 0.0

# Dy2YS3 (PBE-GGA, optimized geometry)
data_Dy2YS3
_chemical_formula_sum 'Dy2 Y1 S3'
_cell_length_a 3.8963
_cell_length_b 3.8963
_cell_length_c 9.5965
_cell_angle_alpha 90.00
_cell_angle_beta 90.00
_cell_angle_gamma 120.00
_space_group_name_H-M_alt 'P -3 m 1'
_space_group_IT_number 164
_space_group_name_Hall '-P 3 2"'
loop_
_atom_site_label
_atom_site_type_symbol
_atom_site_fract_x
_atom_site_fract_y
_atom_site_fract_z
Dy1 Dy 0.3333 0.6667 0.1666
Y1 Y 0.0000 0.0000 0.5000
S1 S 0.0000 0.0000 0.0000
S2 S 0.3333 0.6667 0.6671
# Energy (eV/atom): -6.670
# Spin magnetization (μB per cell): 0.0

# DyY4S7 (PBE-GGA, optimized geometry)
data_DyY4S7
_chemical_formula_sum 'Dy2 Y8 S14'
_cell_length_a 12.860
_cell_length_b 3.812
_cell_length_c 11.623
_cell_angle_alpha 90.00
_cell_angle_beta 104.61
_cell_angle_gamma 90.00
_space_group_name_H-M_alt 'C 1 2/m 1'
_space_group_IT_number 12
loop_
_space_group_symop_operation_xyz
'x,y,z'
'-x,-y,-z'
'-x,y,-z'
'x,-y,z'
'x+1/2,y+1/2,z'
'-x+1/2,-y+1/2,-z'
'-x+1/2,y+1/2,-z'
'x+1/2,-y+1/2,z'
loop_
_atom_site_label
_atom_site_type_symbol
_atom_site_fract_x
_atom_site_fract_y
_atom_site_fract_z
Dy1 Dy 0.000 0.000 0.000
Y1 Y 0.112 0.000 0.421
Y2 Y 0.200 0.500 0.812
S1 S 0.000 0.500 0.500
S2 S 0.041 0.000 0.785
S3 S 0.159 0.500 0.051
S4 S 0.241 0.500 0.352
# Energy (eV/atom): -7.023
# Spin magnetization (μB per cell): 0.0

# DyYS4 (PBE-GGA, optimized geometry)
data_DyYS4
_chemical_formula_sum 'Dy2 Y2 S8'
_cell_length_a 9.469
_cell_length_b 4.164
_cell_length_c 8.245
_cell_angle_alpha 90.00
_cell_angle_beta 111.60
_cell_angle_gamma 90.00
_space_group_name_H-M_alt 'C 1 m 1'
_space_group_IT_number 8
loop_
_space_group_symop_operation_xyz
'x,y,z'
'x,-y,z'
'x+1/2,y+1/2,z'
'x+1/2,-y+1/2,z'
loop_
_atom_site_label
_atom_site_type_symbol
_atom_site_fract_x
_atom_site_fract_y
_atom_site_fract_z
Dy1 Dy 0.000 0.000 0.000
Y1 Y 0.013 0.500 0.554
S1 S 0.011 0.000 0.350
S2 S 0.146 0.500 0.158
S3 S 0.195 0.500 0.924
S4 S 0.345 0.500 0.653
# Energy (eV/atom): -6.063
# Spin magnetization (μB per cell): 0.0